Record 1
The following is a PBE calculation of a geometry-optimized TcIrBr2 structure, from Alexandria via LeMat-Bulk.

```
TcIrBr2
1.0
-3.845 -0.688 -3.352
4.172 -2.997 -0.332
-1.569 -2.438 2.301
Br Ir Tc
2 1 1
direct
0.290 0.710 0.500
0.963 0.037 0.000
0.534 0.466 0.000
0.714 0.286 0.500
```

Properties
DOS at the Fermi energy	0.70	states/eV per atom
energy relative to the elements, uncorrected	558.9	meV/atom
calculated density	8.72	Mg/m³
symmetry	No. 38



Record 2
The following is a PBE calculation of a geometry-optimized Ta2AlPb structure, from Alexandria via LeMat-Bulk.

```
Ta2AlPb
1.0
-1.854 -2.326 1.908
-1.228 -2.290 -3.984
3.696 -2.638 0.376
Ta Al Pb
2 1 1
direct
0.500 0.500 0.000
0.000 0.000 0.000
0.500 0.000 0.500
0.000 0.500 0.500
```

Properties
E_form	29	kJ/mol of atoms
DOS at the Fermi energy	0.63	states/eV per atom
calculated density	12.92	Mg/m³
symmetry	No. 47



Record 3
The following is a PBE calculation of a geometry-optimized NaHgPb2 structure, from Alexandria via LeMat-Bulk.

```
NaHgPb2
1.0
3.942 0.000 0.000
0.000 3.942 0.000
0.000 0.000 7.378
Pb Hg Na
2 1 1
direct
0.000 0.000 0.771
0.000 0.000 0.229
0.500 0.500 0.000
0.500 0.500 0.500
```

Properties
E_form	-5	kJ/mol of atoms
DOS at the Fermi energy	0.31	states/eV per atom
calculated density	9.24	Mg/m³
symmetry	No. 123



Record 4
The following is a PBE calculation of a geometry-optimized ScAl structure, from Alexandria via LeMat-Bulk.

```
ScAl
1.0
-3.102 -0.820 -1.047
0.273 -2.994 1.535
-1.302 1.326 2.818
Sc Al
1 1
direct
0.500 0.500 0.500
0.000 0.000 0.000
```

Properties
E_form	-43	kJ/mol of atoms
DOS at the Fermi energy	0.54	states/eV per atom
calculated density	3.11	Mg/m³
symmetry	No. 221



Record 5
The following is a PBE calculation of a geometry-optimized YErTcHg structure, from Alexandria via LeMat-Bulk.

```
YErTcHg
1.0
5.022 0.000 0.000
2.511 4.349 0.000
2.511 1.450 4.101
Tc Hg Y Er
1 1 1 1
direct
0.500 0.500 0.500
0.000 0.000 0.000
0.250 0.250 0.250
0.750 0.750 0.750
```

Properties
E_form	-16	kJ/mol of atoms
DOS at the Fermi energy	0.71	states/eV per atom
calculated density	10.28	Mg/m³
symmetry	No. 216



Record 6
The following is a PBE calculation of a geometry-optimized NaTl4In3 structure, from Alexandria via LeMat-Bulk.

```
NaTl4In3
1.0
-4.660 -0.409 -4.225
3.618 2.901 -4.271
2.752 -6.851 2.330
Tl In Na
4 3 1
direct
0.500 0.000 0.000
0.745 0.745 0.490
0.000 0.500 0.000
0.255 0.255 0.510
0.250 0.750 0.500
0.750 0.250 0.500
0.500 0.500 0.000
0.000 0.000 0.000
```

Properties
E_form	11	kJ/mol of atoms
DOS at the Fermi energy	0.68	states/eV per atom
calculated density	7.82	Mg/m³
symmetry	No. 139



> calculated density of number 1 (TcIrBr2)?

8.72 Mg/m³



> The highest calculated density belongs to which entry?

Ta2AlPb



> Which value of calculated density does entry 4 give?

3.11 Mg/m³